Arrangement i

VASP calculation (PBE) on RbTlAsH after structural relaxation.

Cell lengths 4.478, 4.478, 6.461 Å; angles 90.00, 90.00, 120.00 degrees
Fractional coordinates of all 4 atoms:
1 Rb 0.667 0.333 0.817
2 Tl 0.333 0.667 0.349
3 As 0.000 0.000 0.199
4 H 0.333 0.667 0.643

Calculated values
**Symmetry**: P3m1

Arrangement ii

VASP calculation (PBE) on RbTlAsH after structural relaxation.

Cell lengths 6.964, 5.053, 7.609 Å; angles 90.00, 114.78, 90.00 degrees
Fractional coordinates of all 8 atoms:
1 H 0.788 0.000 0.058
2 H 0.788 0.500 0.558
3 Tl 0.135 0.000 0.982
4 Tl 0.135 0.500 0.482
5 As 0.911 0.000 0.284
6 As 0.911 0.500 0.784
7 Rb 0.560 0.000 0.507
8 Rb 0.560 0.500 0.007

Calculated values
**Symmetry**: Cm

Arrangement iii

VASP calculation (PBE) on RbTlAsH after structural relaxation.

Cell lengths 5.263, 5.263, 4.859 Å; angles 90.00, 90.00, 120.00 degrees
Fractional coordinates of all 4 atoms:
1 Rb 0.333 0.667 0.009
2 Tl 0.667 0.333 0.441
3 As 0.000 0.000 0.621
4 H 0.000 0.000 0.302

Calculated values
**Symmetry**: P3m1

Most stable of them? arrangement iii.

Arrangement i

VASP calculation (PBE) on ReAs2H after structural relaxation.

Cell lengths 4.278, 4.278, 4.278 Å; angles 60.00, 60.00, 60.00 degrees
Fractional coordinates of all 4 atoms:
1 Re 0.500 0.500 0.500
2 As 0.250 0.250 0.250
3 As 0.750 0.750 0.750
4 H 0.000 0.000 0.000

Calculated values
**Symmetry**: Fm-3m

Arrangement ii

VASP calculation (PBE) on ReAs2H after structural relaxation.

Cell lengths 5.285, 5.285, 6.129 Å; angles 64.46, 64.46, 90.00 degrees
Fractional coordinates of all 8 atoms:
1 Re 0.000 0.000 0.000
2 Re 0.750 0.250 0.500
3 As 0.576 0.125 0.250
4 As 0.174 0.625 0.250
5 As 0.375 0.424 0.750
6 As 0.875 0.826 0.750
7 H 0.500 0.500 0.000
8 H 0.250 0.750 0.500

Calculated values
**Symmetry**: I-42d

Most stable of them? arrangement ii.

Arrangement i

VASP calculation (PBE) on Re2AsH after structural relaxation.

Cell lengths 4.749, 4.749, 5.999 Å; angles 66.69, 66.69, 90.00 degrees
Fractional coordinates of all 8 atoms:
1 Re 0.486 0.125 0.250
2 Re 0.264 0.625 0.250
3 Re 0.375 0.514 0.750
4 Re 0.875 0.736 0.750
5 As 0.000 0.000 0.000
6 As 0.750 0.250 0.500
7 H 0.500 0.500 0.000
8 H 0.250 0.750 0.500

Calculated values
**Symmetry**: I-42d

Arrangement ii

VASP calculation (PBE) on Re2AsH after structural relaxation.

Cell lengths 4.145, 4.145, 4.145 Å; angles 60.00, 60.00, 60.00 degrees
Fractional coordinates of all 4 atoms:
1 Re 0.250 0.250 0.250
2 Re 0.750 0.750 0.750
3 As 0.500 0.500 0.500
4 H 0.000 0.000 0.000

Calculated values
**Symmetry**: Fm-3m

Most stable of them? arrangement i.

Arrangement i

VASP calculation (PBE) on ReAsHSe2 after structural relaxation.

Cell lengths 4.651, 4.651, 3.384 Å; angles 90.00, 90.00, 90.00 degrees
Fractional coordinates of all 5 atoms:
1 Re 0.500 0.500 0.500
2 As 0.000 0.000 0.500
3 Se 0.000 0.500 0.000
4 Se 0.500 0.000 0.000
5 H 0.000 0.000 0.000

Calculated values
**Symmetry**: P4/mmm

Arrangement ii

VASP calculation (PBE) on ReAsHSe2 after structural relaxation.

Cell lengths 4.920, 4.920, 4.846 Å; angles 90.00, 90.00, 90.00 degrees
Fractional coordinates of all 5 atoms:
1 Re 0.000 0.000 0.000
2 As 0.000 0.000 0.500
3 Se 0.000 0.500 0.000
4 Se 0.500 0.000 0.000
5 H 0.500 0.500 0.500

Calculated values
**Symmetry**: P4/mmm

Most stable of them? arrangement ii.

Arrangement i

VASP calculation (PBE) on As3HRh after structural relaxation.

Cell lengths 4.802, 4.802, 4.802 Å; angles 90.00, 90.00, 90.00 degrees
Fractional coordinates of all 5 atoms:
1 H 0.500 0.500 0.500
2 As 0.000 0.500 0.000
3 As 0.000 0.000 0.500
4 As 0.500 0.000 0.000
5 Rh 0.000 0.000 0.000

Calculated values
**Symmetry**: Pm-3m

Arrangement ii

VASP calculation (PBE) on As3HRh after structural relaxation.

Cell lengths 4.171, 4.171, 4.171 Å; angles 90.00, 90.00, 90.00 degrees
Fractional coordinates of all 5 atoms:
1 H 0.000 0.000 0.000
2 As 0.000 0.500 0.000
3 As 0.000 0.000 0.500
4 As 0.500 0.000 0.000
5 Rh 0.500 0.500 0.500

Calculated values
**Symmetry**: Pm-3m

Most stable of them? arrangement ii.

Arrangement i

VASP calculation (PBE) on AsH3Rh after structural relaxation.

Cell lengths 3.547, 3.547, 3.547 Å; angles 90.00, 90.00, 90.00 degrees
Fractional coordinates of all 5 atoms:
1 H 0.000 0.500 0.000
2 H 0.000 0.000 0.500
3 H 0.500 0.000 0.000
4 As 0.500 0.500 0.500
5 Rh 0.000 0.000 0.000

Calculated values
**Symmetry**: Pm-3m

Arrangement ii

VASP calculation (PBE) on AsH3Rh after structural relaxation.

Cell lengths 3.602, 3.602, 3.602 Å; angles 90.00, 90.00, 90.00 degrees
Fractional coordinates of all 5 atoms:
1 H 0.000 0.500 0.000
2 H 0.000 0.000 0.500
3 H 0.500 0.000 0.000
4 As 0.000 0.000 0.000
5 Rh 0.500 0.500 0.500

Calculated values
**Symmetry**: Pm-3m

Most stable of them? arrangement i.

Arrangement i

VASP calculation (PBE) on As2HRh after structural relaxation.

Cell lengths 4.251, 4.251, 4.251 Å; angles 60.00, 60.00, 60.00 degrees
Fractional coordinates of all 4 atoms:
1 H 0.000 0.000 0.000
2 As 0.250 0.250 0.250
3 As 0.750 0.750 0.750
4 Rh 0.500 0.500 0.500

Calculated values
**Symmetry**: Fm-3m

Arrangement ii

VASP calculation (PBE) on As2HRh after structural relaxation.

Cell lengths 5.146, 5.146, 6.106 Å; angles 65.08, 65.08, 90.00 degrees
Fractional coordinates of all 8 atoms:
1 H 0.500 0.500 0.000
2 H 0.250 0.750 0.500
3 As 0.568 0.125 0.250
4 As 0.182 0.625 0.250
5 As 0.375 0.432 0.750
6 As 0.875 0.818 0.750
7 Rh 0.000 0.000 0.000
8 Rh 0.750 0.250 0.500

Calculated values
**Symmetry**: I-42d

Most stable of them? arrangement i.

Arrangement i

VASP calculation (PBE) on As2HRhSe after structural relaxation.

Cell lengths 4.717, 4.717, 5.194 Å; angles 90.00, 90.00, 90.00 degrees
Fractional coordinates of all 5 atoms:
1 H 0.500 0.500 0.500
2 As 0.000 0.500 0.000
3 As 0.500 0.000 0.000
4 Rh 0.000 0.000 0.000
5 Se 0.000 0.000 0.500

Calculated values
**Symmetry**: P4/mmm

Arrangement ii

VASP calculation (PBE) on As2HRhSe after structural relaxation.

Cell lengths 3.946, 3.946, 4.821 Å; angles 90.00, 90.00, 90.00 degrees
Fractional coordinates of all 5 atoms:
1 H 0.000 0.000 0.000
2 As 0.000 0.500 0.000
3 As 0.500 0.000 0.000
4 Rh 0.500 0.500 0.500
5 Se 0.000 0.000 0.500

Calculated values
**Symmetry**: P4/mmm

Most stable of them? arrangement ii.

Arrangement i

VASP calculation (PBE) on AsHRu after structural relaxation.

Cell lengths 5.826, 6.031, 5.826 Å; angles 61.61, 89.11, 118.39 degrees
Fractional coordinates of all 12 atoms:
1 Ru 0.096 0.870 0.574
2 Ru 0.676 0.370 0.154
3 Ru 0.556 0.130 0.774
4 Ru 0.476 0.630 0.694
5 As 0.371 0.401 0.424
6 As 0.826 0.901 0.879
7 As 0.220 0.099 0.075
8 As 0.175 0.599 0.030
9 H 0.798 0.335 0.437
10 H 0.713 0.165 0.022
11 H 0.813 0.835 0.452
12 H 0.228 0.665 0.537

Calculated values
**Symmetry**: Fdd2

Arrangement ii

VASP calculation (PBE) on AsHRu after structural relaxation.

Cell lengths 4.101, 4.101, 5.627 Å; angles 90.00, 90.00, 90.00 degrees
Fractional coordinates of all 6 atoms:
1 Ru 0.000 0.000 0.500
2 Ru 0.500 0.500 0.500
3 As 0.000 0.500 0.276
4 As 0.500 0.000 0.724
5 H 0.000 0.500 0.001
6 H 0.500 0.000 0.999

Calculated values
**Symmetry**: P4/nmm

Most stable of them? arrangement i.

Arrangement i

VASP calculation (PBE) on AsHS2 after structural relaxation.

Cell lengths 4.196, 7.989, 10.767 Å; angles 90.00, 90.00, 90.00 degrees
Fractional coordinates of all 16 atoms:
1 As 0.422 0.580 0.379
2 As 0.922 0.420 0.621
3 As 0.922 0.920 0.879
4 As 0.422 0.080 0.121
5 H 0.700 0.438 0.854
6 H 0.200 0.062 0.354
7 H 0.700 0.938 0.646
8 H 0.200 0.562 0.146
9 S 0.053 0.169 0.971
10 S 0.053 0.669 0.529
11 S 0.553 0.831 0.029
12 S 0.553 0.331 0.471
13 S 0.097 0.451 0.233
14 S 0.597 0.549 0.767
15 S 0.597 0.049 0.733
16 S 0.097 0.951 0.267

Calculated values
**Symmetry**: Pna2_1

Arrangement ii

VASP calculation (PBE) on AsHS2 after structural relaxation.

Cell lengths 4.344, 4.344, 4.344 Å; angles 60.00, 60.00, 60.00 degrees
Fractional coordinates of all 4 atoms:
1 H 0.000 0.000 0.000
2 As 0.500 0.500 0.500
3 S 0.250 0.250 0.250
4 S 0.750 0.750 0.750

Calculated values
**Symmetry**: Fm-3m

Arrangement iii

VASP calculation (PBE) on AsHS2 after structural relaxation.

Cell lengths 6.418, 6.418, 6.418 Å; angles 34.34, 34.34, 34.34 degrees
Fractional coordinates of all 4 atoms:
1 H 0.000 0.000 0.000
2 As 0.500 0.500 0.500
3 S 0.910 0.910 0.910
4 S 0.090 0.090 0.090

Calculated values
**Symmetry**: R-3m

Arrangement iv

VASP calculation (PBE) on AsHS2 after structural relaxation.

Cell lengths 5.368, 5.368, 6.281 Å; angles 64.70, 64.70, 90.00 degrees
Fractional coordinates of all 8 atoms:
1 H 0.500 0.500 0.000
2 H 0.250 0.750 0.500
3 As 0.000 0.000 0.000
4 As 0.750 0.250 0.500
5 S 0.558 0.125 0.250
6 S 0.192 0.625 0.250
7 S 0.375 0.442 0.750
8 S 0.875 0.808 0.750

Calculated values
**Symmetry**: I-42d

Most stable of them? arrangement i.

Arrangement i

VASP calculation (PBE) on Sb3AsH after structural relaxation.

Cell lengths 4.712, 4.712, 4.712 Å; angles 90.00, 90.00, 90.00 degrees
Fractional coordinates of all 5 atoms:
1 Sb 0.000 0.500 0.000
2 Sb 0.000 0.000 0.500
3 Sb 0.500 0.000 0.000
4 As 0.500 0.500 0.500
5 H 0.000 0.000 0.000

Calculated values
**Symmetry**: Pm-3m

Arrangement ii

VASP calculation (PBE) on Sb3AsH after structural relaxation.

Cell lengths 5.444, 5.444, 5.444 Å; angles 90.00, 90.00, 90.00 degrees
Fractional coordinates of all 5 atoms:
1 Sb 0.000 0.500 0.000
2 Sb 0.000 0.000 0.500
3 Sb 0.500 0.000 0.000
4 As 0.000 0.000 0.000
5 H 0.500 0.500 0.500

Calculated values
**Symmetry**: Pm-3m

Most stable of them? arrangement i.

Arrangement i

VASP calculation (PBE) on Sb2AsH after structural relaxation.

Cell lengths 4.860, 4.860, 4.860 Å; angles 60.00, 60.00, 60.00 degrees
Fractional coordinates of all 4 atoms:
1 Sb 0.250 0.250 0.250
2 Sb 0.750 0.750 0.750
3 As 0.500 0.500 0.500
4 H 0.000 0.000 0.000

Calculated values
**Symmetry**: Fm-3m

Arrangement ii

VASP calculation (PBE) on Sb2AsH after structural relaxation.

Cell lengths 5.763, 5.763, 6.943 Å; angles 65.48, 65.48, 90.00 degrees
Fractional coordinates of all 8 atoms:
1 Sb 0.543 0.125 0.250
2 Sb 0.207 0.625 0.250
3 Sb 0.375 0.457 0.750
4 Sb 0.875 0.793 0.750
5 As 0.000 0.000 0.000
6 As 0.750 0.250 0.500
7 H 0.500 0.500 0.000
8 H 0.250 0.750 0.500

Calculated values
**Symmetry**: I-42d

Most stable of them? arrangement ii.